An optimized crystal structure of Al2ReP. Source: Alexandria via LeMat-Bulk, functional GGA-PBE.

The space group is I-4m2 (No. 119) and the conventional cell measures 3.9111, 3.9111 and 7.4849 Å, with angles of 90.00, 90.00 and 90.00 degrees. The inequivalent atoms are Al at (0.0000, 0.0000, 0.0000), Al at (0.0000, 0.5000, 0.2500), Re at (0.0000, 0.0000, 0.5000) and P at (0.0000, 0.5000, 0.7500).

For the formation energy, the calculation gives 13.1 kJ per mole of atoms. As for the density of states at the Fermi level: 5.75 states/eV per cell.

=====

An optimized crystal structure of AlReP2. Source: Alexandria via LeMat-Bulk, functional GGA-PBE.

The space group is I-42d (No. 122) and the conventional cell measures 5.3783, 5.3783 and 11.0946 Å, with angles of 90.00, 90.00 and 90.00 degrees. The inequivalent atoms are Al at (0.0000, 0.0000, 0.0000), Re at (0.0000, 0.0000, 0.5000) and P at (0.2308, 0.2500, 0.6250).

For the formation energy, the calculation gives 2.5 kJ per mole of atoms. As for the density of states at the Fermi level: 6.79 states/eV per cell.

=====

An optimized crystal structure of AlReP2. Source: Alexandria via LeMat-Bulk, functional GGA-PBE.

The space group is Cmmm (No. 65) and the conventional cell measures 3.1614, 5.0357 and 7.5379 Å, with angles of 90.00, 90.00 and 90.00 degrees. The inequivalent atoms are Al at (0.0000, 0.0000, 0.0000), Re at (0.0000, 0.0000, 0.5000) and P at (0.0000, 0.5000, 0.2561).

For the formation energy, the calculation gives 30.8 kJ per mole of atoms. As for the density of states at the Fermi level: 3.65 states/eV per cell.

=====

An optimized crystal structure of Al2ReP. Source: Alexandria via LeMat-Bulk, functional GGA-PBE.

The space group is Cmmm (No. 65) and the conventional cell measures 5.5906, 7.6165 and 2.7171 Å, with angles of 90.00, 90.00 and 90.00 degrees. The inequivalent atoms are Al at (0.2500, 0.2500, 0.0000), Re at (0.0000, 0.0000, 0.5000) and P at (0.0000, 0.5000, 0.5000).

For the formation energy, the calculation gives -1.7 kJ per mole of atoms. As for the density of states at the Fermi level: 5.60 states/eV per cell.

=====

An optimized crystal structure of Al2ReP. Source: Alexandria via LeMat-Bulk, functional GGA-PBE.

The space group is Immm (No. 71) and the conventional cell measures 3.2756, 4.2152 and 8.1150 Å, with angles of 90.00, 90.00 and 90.00 degrees. The inequivalent atoms are Al at (0.0000, 0.0000, 0.2362), Re at (0.0000, 0.5000, 0.0000) and P at (0.0000, 0.5000, 0.5000).

For the formation energy, the calculation gives -2.1 kJ per mole of atoms. As for the density of states at the Fermi level: 5.42 states/eV per cell.

=====

An optimized crystal structure of AlRe2P. Source: Alexandria via LeMat-Bulk, functional GGA-PBE.

The space group is I-42d (No. 122) and the conventional cell measures 7.2714, 7.2714 and 4.8480 Å, with angles of 90.00, 90.00 and 90.00 degrees. The inequivalent atoms are Al at (0.0000, 0.0000, 0.0000), Re at (0.1681, 0.2500, 0.6250) and P at (0.0000, 0.0000, 0.5000).

For the formation energy, the calculation gives 26.8 kJ per mole of atoms. As for the density of states at the Fermi level: 10.31 states/eV per cell. Its energy relative to the lowest polymorph listed for this composition is 467 meV/atom.

=====

Record-wise M_tot values, in μB per formula unit: 0.0 0.0 0.0 0.0 0.0 0.0